VASP calculation (GGA-PBE) on an optimized crystal structure of PmCdSi2.

Results
DOS(E_F) = 2.43 states/eV per cell
E above lowest polymorph = 240.5 meV/atom
Symmetry = R-3m, No. 166

abc: 5.149 5.149 4.804
angles: 57.59 57.59 60.00
Element x y z (fractional)
1 Si 0.240 0.240 0.281
2 Si 0.760 0.760 0.719
3 Cd 0.000 0.000 0.000
4 Pm 0.500 0.500 0.500

VASP calculation (GGA-PBE) on an optimized crystal structure of Tm5Tl2Fe.

Results
E_form = -0.1716 eV/atom
DOS(E_F) = 12.25 states/eV per cell
Symmetry = Pbam, No. 55

abc: 4.846 6.810 12.248
angles: 90.00 90.00 90.00
Element x y z (fractional)
1 Tm 0.500 0.324 0.083
2 Tm 0.500 0.676 0.917
3 Tm 0.500 0.824 0.417
4 Tm 0.500 0.176 0.583
5 Tm 0.000 0.887 0.706
6 Tm 0.000 0.113 0.294
7 Tm 0.000 0.387 0.794
8 Tm 0.000 0.613 0.206
9 Tm 0.000 0.500 0.500
10 Tm 0.000 0.000 0.000
11 Tl 0.500 0.388 0.339
12 Tl 0.500 0.612 0.661
13 Tl 0.500 0.112 0.839
14 Tl 0.500 0.888 0.161
15 Fe 0.000 0.000 0.500
16 Fe 0.000 0.500 0.000

VASP calculation (GGA-PBE) on an optimized crystal structure of U3CN3.

Results
Raw total energy = -72.20 eV for the cell shown
DOS(E_F) = 9.32 states/eV per cell
Symmetry = Pm-3m, No. 221

abc: 4.733 4.733 4.733
angles: 90.00 90.00 90.00
Site moments in Bohr magnetons follow the coordinates.
Element x y z (fractional)
1 U 0.500 0.000 0.500  0.96
2 U 0.500 0.500 0.000  0.96
3 U 0.000 0.500 0.500  0.96
4 C 0.500 0.500 0.500  -0.06
5 N 0.000 0.500 0.000  -0.07
6 N 0.000 0.000 0.500  -0.07
7 N 0.500 0.000 0.000  -0.07

VASP calculation (GGA-PBE) on an optimized crystal structure of BaGeMo3.

Results
E_form = 3.1107 eV/atom
DOS(E_F) = 7.93 states/eV per cell
E above lowest polymorph = 1786.1 meV/atom
Symmetry = Pm-3m, No. 221

abc: 5.032 5.032 5.032
angles: 90.00 90.00 90.00
Site moments in Bohr magnetons follow the coordinates.
Element x y z (fractional)
1 Mo 0.000 0.500 0.000  1.06
2 Mo 0.000 0.000 0.500  1.11
3 Mo 0.500 0.000 0.000  1.38
4 Ge 0.500 0.500 0.500  -0.04
5 Ba 0.000 0.000 0.000  0.01

VASP calculation (GGA-PBE) on an optimized crystal structure of Tm2ZnCd3.

Results
E_form = -0.2901 eV/atom
DOS(E_F) = 3.57 states/eV per cell
Symmetry = Pmm2, No. 25

abc: 3.386 4.838 8.363
angles: 90.00 90.00 90.00
Element x y z (fractional)
1 Tm 0.000 0.500 0.009
2 Tm 0.000 0.000 0.493
3 Zn 0.500 0.500 0.332
4 Cd 0.500 0.000 0.833
5 Cd 0.500 0.000 0.174
6 Cd 0.500 0.500 0.659

VASP calculation (GGA-PBE) on an optimized crystal structure of AcGdTl.

Results
E_form = -0.1657 eV/atom
DOS(E_F) = 4.24 states/eV per cell
E above lowest polymorph = 45.3 meV/atom
Symmetry = P3m1, No. 156

abc: 4.075 5.452 5.452
angles: 120.00 90.00 90.00
Site moments in Bohr magnetons follow the coordinates.
Element x y z (fractional)
1 Ac 0.000 0.000 0.000  0.05
2 Gd 0.502 0.333 0.667  7.19
3 Tl 0.498 0.667 0.333  -0.01

VASP calculation (GGA-PBE) on an optimized crystal structure of SmZn4Ag4.

Results
E_form = -0.0532 eV/atom
DOS(E_F) = 9.55 states/eV per cell
Symmetry = P4_2/n, No. 86

abc: 4.698 8.564 8.564
angles: 90.00 90.00 90.00
Element x y z (fractional)
1 Sm 0.000 0.000 0.000
2 Sm 0.500 0.500 0.500
3 Zn 0.501 0.883 0.215
4 Zn 0.501 0.117 0.785
5 Zn 0.001 0.715 0.617
6 Zn 0.999 0.383 0.715
7 Zn 0.999 0.617 0.285
8 Zn 0.499 0.215 0.117
9 Zn 0.499 0.785 0.883
10 Zn 0.001 0.285 0.383
11 Ag 0.499 0.413 0.863
12 Ag 0.999 0.637 0.913
13 Ag 0.499 0.587 0.137
14 Ag 0.001 0.087 0.637
15 Ag 0.501 0.863 0.587
16 Ag 0.001 0.913 0.363
17 Ag 0.999 0.363 0.087
18 Ag 0.501 0.137 0.413

VASP calculation (GGA-PBE) on an optimized crystal structure of VMo2W6.

Results
E_form = 0.3676 eV/atom
DOS(E_F) = 6.29 states/eV per cell
E above lowest polymorph = 0.0 meV/atom
Symmetry = C2/m, No. 12

abc: 4.691 8.246 5.731
angles: 136.01 101.72 90.00
Element x y z (fractional)
1 V 0.000 0.000 0.000
2 Mo 0.665 0.668 0.336
3 Mo 0.335 0.332 0.664
4 W 0.166 0.496 0.334
5 W 0.834 0.162 0.666
6 W 0.834 0.504 0.666
7 W 0.500 0.168 0.000
8 W 0.166 0.838 0.334
9 W 0.500 0.832 0.000